Entry from Alexandria via LeMat-Bulk: a geometry-optimized CsPuFeSe3 structure (GGA-PBE). Values from VASP.

Cell and atoms, written as Quantum ESPRESSO input:
```
&SYSTEM
  ibrav = 0, nat = 12, ntyp = 4
/
ATOMIC_SPECIES
Cs 132.91 Cs.upf
Pu 244.00 Pu.upf
Fe 55.84 Fe.upf
Se 78.96 Se.upf
CELL_PARAMETERS angstrom
9.8291 0.0000 0.0000
0.0000 4.1551 0.0000
-3.8688 0.0000 9.3635
ATOMIC_POSITIONS crystal
Cs 0.2114 0.2500 0.2394
Cs 0.7886 0.7500 0.7606
Pu 0.3254 0.7500 0.8443
Pu 0.6746 0.2500 0.1557
Fe 0.0767 0.2500 0.5882
Fe 0.9233 0.7500 0.4118
Se 0.1236 0.2500 0.8437
Se 0.1951 0.7500 0.5358
Se 0.4716 0.7500 0.1501
Se 0.5284 0.2500 0.8499
Se 0.8049 0.2500 0.4642
Se 0.8764 0.7500 0.1563
```

Uncorrected formation energy: -24.51 kcal/mol of atoms
SG: P2_1/m (11)

Entry from Alexandria via LeMat-Bulk: a geometry-optimized CsFeRe3 structure (GGA-PBE). Values from VASP.

Cell and atoms, written as Quantum ESPRESSO input:
```
&SYSTEM
  ibrav = 0, nat = 5, ntyp = 3
/
ATOMIC_SPECIES
Cs 132.91 Cs.upf
Fe 55.84 Fe.upf
Re 186.21 Re.upf
CELL_PARAMETERS angstrom
4.6654 0.0000 0.0000
0.0000 4.6654 0.0000
0.0000 0.0000 4.6654
ATOMIC_POSITIONS crystal
Cs 0.0000 0.0000 0.0000
Fe 0.5000 0.5000 0.5000
Re 0.0000 0.5000 0.5000
Re 0.5000 0.0000 0.5000
Re 0.5000 0.5000 0.0000
```

Energy of formation from the pure elements: 2208 meV/atom
SG: Pm-3m (221)

Entry from Alexandria via LeMat-Bulk: a geometry-optimized CsFe2Re2 structure (GGA-PBE). Values from VASP.

Cell and atoms, written as Quantum ESPRESSO input:
```
&SYSTEM
  ibrav = 0, nat = 10, ntyp = 3
/
ATOMIC_SPECIES
Cs 132.91 Cs.upf
Fe 55.84 Fe.upf
Re 186.21 Re.upf
CELL_PARAMETERS angstrom
4.1939 0.0000 0.0000
0.0000 4.1939 0.0000
0.0000 0.0000 10.5569
ATOMIC_POSITIONS crystal
Cs 0.0000 0.0000 0.0000
Cs 0.5000 0.5000 0.5000
Fe 0.0000 0.5000 0.2500
Fe 0.0000 0.5000 0.7500
Fe 0.5000 0.0000 0.2500
Fe 0.5000 0.0000 0.7500
Re 0.0000 0.0000 0.3664
Re 0.0000 0.0000 0.6336
Re 0.5000 0.5000 0.1336
Re 0.5000 0.5000 0.8664
```

Energy of formation from the pure elements: 1294 meV/atom
SG: I4/mmm (139)

Number 1: magnetic moment 2.01 Bohr magnetons per cell. Number 2: magnetic moment 3.11 Bohr magnetons per cell. Number 3: magnetic moment 3.02 Bohr magnetons per cell.